A plane-wave DFT calculation with PBE was carried out for a relaxed structure of Sr2LaTl.

Unit cell a=5.9771 b=5.9771 c=5.9771 alpha=60.00 beta=60.00 gamma=60.00
Sites, in units of the cell vectors:
La 0.5000 0.5000 0.5000
Sr 0.2500 0.2500 0.2500
Sr 0.0000 0.0000 0.0000
Tl 0.7500 0.7500 0.7500

Properties
The energy is -10.810 eV for the cell shown. The offset from the most stable computed form is 123.4 meV per atom. Its size of the total moment is 0.001 μB/f.u. The formation energy is -0.04 eV/atom. As for the space group: F-43m, No. 216.